(1)
First-principles (PBE) data for a relaxed Ti2PdCl crystal, as listed in Alexandria.

Computed properties:
Its formation energy from raw total energies is -216 meV/atom. For the volume, the calculation gives 137.1 Å³ per cell. The calculation puts the polymorph energy (0 for the lowest one) at 0.0 kJ per mole of atoms.

a = 6.6583 Å, b = 6.6583 Å, c = 5.6329 Å
α = 53.77°, β = 53.77°, γ = 90.00°
Last column: nearest neighbours and their distance in Å.
Element x y z (fractional)
1 Cl 0.5000 0.5000 0.0000  4 Ti 2.37
2 Cl 0.2500 0.7500 0.5000  4 Ti 2.37
3 Pd 0.0000 0.0000 0.0000  4 Ti 2.60
4 Pd 0.7500 0.2500 0.5000  4 Ti 2.60
5 Ti 0.5990 0.1250 0.2500  2 Cl 2.37, 2 Pd 2.60
6 Ti 0.1510 0.6250 0.2500  2 Cl 2.37, 2 Pd 2.60
7 Ti 0.3750 0.4010 0.7500  2 Cl 2.37, 2 Pd 2.60
8 Ti 0.8750 0.8490 0.7500  2 Cl 2.37, 2 Pd 2.60

(2)
First-principles (PBE) data for a relaxed TiPdCl6 crystal, as listed in Alexandria.

Computed properties:
Its formation energy from raw total energies is -1089 meV/atom. For the volume, the calculation gives 236.1 Å³ per cell.

a = 7.1458 Å, b = 7.0006 Å, c = 6.6137 Å
α = 58.05°, β = 73.36°, γ = 57.25°
Last column: nearest neighbours and their distance in Å.
Element x y z (fractional)
1 Ti 0.5000 0.5000 0.0000  6 Cl 2.26-2.43
2 Pd 0.0000 0.0000 0.0000  4 Cl 2.33
3 Cl 0.7551 0.3834 0.7026  1 Pd 2.33, 1 Ti 2.43
4 Cl 0.7551 0.0860 0.2974  1 Pd 2.33, 1 Ti 2.43
5 Cl 0.2449 0.9140 0.7026  1 Pd 2.33, 1 Ti 2.43
6 Cl 0.2449 0.6166 0.2974  1 Pd 2.33, 1 Ti 2.43
7 Cl 0.6852 0.6783 0.0000  1 Ti 2.26
8 Cl 0.3148 0.3217 0.0000  1 Ti 2.26

(3)
First-principles (PBE) data for a relaxed TiPdCl crystal, as listed in Alexandria.

Computed properties:
Its formation energy from raw total energies is -327 meV/atom. For the volume, the calculation gives 98.0 Å³ per cell.

a = 4.2108 Å, b = 4.2383 Å, c = 6.3301 Å
α = 90.00°, β = 90.00°, γ = 119.79°
Last column: nearest neighbours and their distance in Å.
Element x y z (fractional)
1 Pd 0.4444 0.8889 0.0000  6 Cl 2.90-2.92, 6 Ti 2.90-2.92, 2 Pd 3.17
2 Pd 0.4444 0.8888 0.5000  6 Cl 2.90-2.92, 6 Ti 2.90-2.92, 2 Pd 3.17
3 Cl 0.7785 0.5570 0.2500  3 Ti 2.44
4 Cl 0.7785 0.5570 0.7500  3 Ti 2.44
5 Ti 0.1104 0.2208 0.7500  3 Cl 2.44
6 Ti 0.1104 0.2208 0.2500  3 Cl 2.44

- Among the records above, which one has the lowest volume?
  TiPdCl

- Look up the formation energy from raw total energies of the third one.
  -327 meV/atom

- The highest formation energy from raw total energies belongs to which entry?
  Ti2PdCl

- Which value of volume does entry 3 give?
  98.0 Å³ per cell